KNa2CrS4, optimized geometry, DFT PBE; space-group type = No. 121; calculated density = 2.100 Mg/m³; E_form (uncorrected) = -0.879 eV/atom; total magnetic moment = 0.125 μB/atom; total DFT energy (no corrections) = -0.3390 Ry/atom; density of states at the Fermi level = 4.24 states/eV/f.u.; crystal system = tetragonal
1.0
6.4919 0.3070 0.4425
-2.8567 5.8377 -0.4425
-2.8567 -2.4576 5.3136
S Na Cr K
4 2 1 1
direct
0.0000 0.5288 0.1791
0.3497 0.8209 0.8209
0.0000 0.1791 0.5288
0.6503 0.4712 0.4712
0.5000 0.2500 0.7500
0.5000 0.7500 0.2500
0.0000 0.5000 0.5000
0.0000 0.0000 0.0000